Computed, not measured: MoPt2Au after structural relaxation at the PBE level of DFT.

Properties
DFT total energy ... -6.56 eV per atom
Space group ... Pm, No. 6
Excess energy over the best structure of this formula in the dataset ... 218.8 meV/atom
DFT formation energy ... -0.013 eV/atom

Unit cell a=4.363 b=2.766 c=5.552 alpha=76.18 beta=90.00 gamma=90.00
Fractional coordinates of all 4 atoms:
Au: 0.000 0.446 0.478
Mo: 0.500 0.796 0.782
Pt: 0.000 0.208 0.974
Pt: 0.500 0.051 0.266